# 1
Below is an optimized crystal structure of TiHgClF6, with properties calculated at the GGA-PBE level.

Structure (CIF):
```
data_TiHgClF6
_chemical_formula_sum 'Ti1 Hg1 Cl1 F6'
_symmetry_space_group_name_H-M 'P 1'
_symmetry_Int_Tables_number 1
_cell_length_a 5.070
_cell_length_b 5.973
_cell_length_c 6.044
_cell_angle_alpha 108.51
_cell_angle_beta 90.32
_cell_angle_gamma 93.42
loop_
_symmetry_equiv_pos_as_xyz
'x,y,z'
loop_
_atom_site_label
_atom_site_type_symbol
_atom_site_fract_x
_atom_site_fract_y
_atom_site_fract_z
Ti1 Ti 0.000 0.000 0.000
Hg1 Hg 0.944 0.675 0.375
Cl1 Cl 0.716 0.421 0.546
F1 F 0.160 0.301 0.109
F2 F 0.169 0.940 0.283
F3 F 0.252 0.850 0.805
F4 F 0.702 0.119 0.207
F5 F 0.808 0.026 0.754
F6 F 0.820 0.701 0.989
```

Properties
- ΔE_f (raw) (meV per atom) = -2219.7
- uncorrected energy (eV per atom) = -4.583
- crystal system = triclinic



# 2
Below is an optimized crystal structure of Tl2HgCl3F, with properties calculated at the GGA-PBE level.

Structure (CIF):
```
data_Tl2HgCl3F
_chemical_formula_sum 'Tl4 Hg2 Cl6 F2'
_symmetry_space_group_name_H-M 'I m m m'
_symmetry_Int_Tables_number 71
_symmetry_space_group_name_Hall '-I 2 2'
_cell_length_a 4.658
_cell_length_b 5.350
_cell_length_c 16.306
_cell_angle_alpha 90.00
_cell_angle_beta 90.00
_cell_angle_gamma 90.00
loop_
_atom_site_label
_atom_site_type_symbol
_atom_site_fract_x
_atom_site_fract_y
_atom_site_fract_z
Tl1 Tl 0.000 0.000 0.142
Hg1 Hg 0.000 0.000 0.500
Cl1 Cl 0.000 0.000 0.337
Cl2 Cl 0.000 0.500 0.500
F1 F 0.000 0.500 0.000
```

Properties
- ΔE_f (raw) (meV per atom) = -1012.2
- DOS at the Fermi energy (states/eV/cell) = 0.0
- uncorrected energy (eV per atom) = -2.790
- crystal system = orthorhombic



Q: Look up the ΔE_f (raw) of the second one.
A: -1012.2 meV per atom